Record 1
A plane-wave DFT calculation with GGA-PBE was carried out for an optimized crystal structure of SrLiAcSe3.

Results
Magnetic moment in μB per formula unit: 0.000
ΔE_f (raw) in meV/atom: -1804
DOS(E_F) in states/eV/cell: 0.0

abc: 9.124 4.350 9.206
angles: 90.00 99.07 90.00
Space group P2_1/m (No. 11)
Unique sites:
Sr: 0.164 0.250 0.221 [2 per cell]
Li: 0.082 0.250 0.582 [2 per cell]
Ac: 0.340 0.750 0.817 [2 per cell]
Se: 0.108 0.250 0.863 [2 per cell]
Se: 0.196 0.750 0.493 [2 per cell]
Se: 0.413 0.750 0.164 [2 per cell]



Record 2
A plane-wave DFT calculation with GGA-PBE was carried out for an optimized crystal structure of LiAc2TbSe4.

Results
Magnetic moment in μB per formula unit: 0.000
ΔE_f (raw) in meV/atom: -1753
DOS(E_F) in states/eV/cell: 2.9

abc: 7.327 4.292 7.453
angles: 90.00 109.70 90.00
Space group P2/m (No. 10)
Unique sites:
Li: 0.000 0.000 0.000 [1 per cell]
Ac: 0.500 0.000 0.500 [1 per cell]
Ac: 0.500 0.500 0.000 [1 per cell]
Tb: 0.000 0.500 0.500 [1 per cell]
Se: 0.222 0.000 0.745 [2 per cell]
Se: 0.222 0.500 0.239 [2 per cell]



Record 3
A plane-wave DFT calculation with GGA-PBE was carried out for an optimized crystal structure of LiAcTb2Se4.

Results
Magnetic moment in μB per formula unit: 0.000
ΔE_f (raw) in meV/atom: -1698
DOS(E_F) in states/eV/cell: 18.5

abc: 4.142 13.857 14.209
angles: 90.00 90.00 90.00
Space group Cmcm (No. 63)
Unique sites:
Li: 0.000 0.146 0.250 [4 per cell]
Ac: 0.000 0.121 0.750 [4 per cell]
Tb: 0.000 0.369 0.556 [8 per cell]
Se: 0.000 0.000 0.000 [4 per cell]
Se: 0.000 0.269 0.121 [8 per cell]
Se: 0.000 0.452 0.750 [4 per cell]



Record 4
A plane-wave DFT calculation with GGA-PBE was carried out for an optimized crystal structure of LiAc4Tb3Se8.

Results
Magnetic moment in μB per formula unit: 0.000
ΔE_f (raw) in meV/atom: -1780
DOS(E_F) in states/eV/cell: 30.0

abc: 8.5012 8.5012 21.1632
angles: 90.00 90.00 120.00
Space group R-3m (No. 166, hexagonal axes)
Unique sites:
Li: 0.0000 0.0000 0.0000 [3 per cell]
Ac: 0.0000 0.0000 0.5000 [3 per cell]
Ac: 0.0000 0.5000 0.5000 [9 per cell]
Tb: 0.0000 0.5000 0.0000 [9 per cell]
Se: 0.0000 0.0000 0.2589 [6 per cell]
Se: 0.0052 0.5026 0.7398 [18 per cell]



Record 5
A plane-wave DFT calculation with GGA-PBE was carried out for an optimized crystal structure of LiAc2Tb3Se6.

Results
Magnetic moment in μB per formula unit: 0.000
ΔE_f (raw) in meV/atom: -1761
DOS(E_F) in states/eV/cell: 10.7

abc: 7.264 12.617 7.392
angles: 90.00 109.31 90.00
Space group C2/m (No. 12)
Unique sites:
Li: 0.000 0.000 0.000 [2 per cell]
Ac: 0.000 0.335 0.000 [4 per cell]
Tb: 0.000 0.169 0.500 [4 per cell]
Tb: 0.000 0.500 0.500 [2 per cell]
Se: 0.228 0.000 0.736 [4 per cell]
Se: 0.247 0.159 0.265 [8 per cell]



Record 6
A plane-wave DFT calculation with GGA-PBE was carried out for an optimized crystal structure of LiAc2TbSe5.

Results
Magnetic moment in μB per formula unit: 0.000
ΔE_f (raw) in meV/atom: -1869

abc: 4.311 17.807 12.778
angles: 90.00 90.00 90.00
Space group Cmc2_1 (No. 36)
Unique sites:
Li: 0.000 0.018 0.000 [4 per cell]
Ac: 0.000 0.374 0.821 [4 per cell]
Ac: 0.000 0.391 0.207 [4 per cell]
Tb: 0.000 0.303 0.525 [4 per cell]
Se: 0.000 0.000 0.305 [4 per cell]
Se: 0.000 0.139 0.520 [4 per cell]
Se: 0.000 0.193 0.872 [4 per cell]
Se: 0.000 0.212 0.178 [4 per cell]
Se: 0.000 0.452 0.585 [4 per cell]



Record 7
A plane-wave DFT calculation with GGA-PBE was carried out for an optimized crystal structure of Li3AcTb2Se6.

Results
Magnetic moment in μB per formula unit: 0.000
ΔE_f (raw) in meV/atom: -1683
DOS(E_F) in states/eV/cell: 0.0

abc: 7.292 12.666 6.954
angles: 90.00 110.10 90.00
Space group C2/m (No. 12)
Unique sites:
Li: 0.000 0.000 0.000 [2 per cell]
Li: 0.000 0.325 0.000 [4 per cell]
Ac: 0.000 0.500 0.500 [2 per cell]
Tb: 0.000 0.166 0.500 [4 per cell]
Se: 0.233 0.000 0.760 [4 per cell]
Se: 0.240 0.176 0.244 [8 per cell]



Record 8
A plane-wave DFT calculation with GGA-PBE was carried out for an optimized crystal structure of LiAcThSe3.

Results
Magnetic moment in μB per formula unit: 0.000
ΔE_f (raw) in meV/atom: -1617
DOS(E_F) in states/eV/cell: 3.7

abc: 8.936 4.108 9.146
angles: 90.00 105.79 90.00
Space group P2_1/m (No. 11)
Unique sites:
Li: 0.086 0.250 0.091 [2 per cell]
Ac: 0.191 0.250 0.733 [2 per cell]
Th: 0.351 0.750 0.360 [2 per cell]
Se: 0.102 0.250 0.371 [2 per cell]
Se: 0.209 0.750 0.014 [2 per cell]
Se: 0.437 0.750 0.706 [2 per cell]



Record 9
A plane-wave DFT calculation with GGA-PBE was carried out for an optimized crystal structure of LiAc3Th3Se8.

Results
Magnetic moment in μB per formula unit: 0.000
ΔE_f (raw) in meV/atom: -1694
DOS(E_F) in states/eV/cell: 32.5

abc: 8.5087 8.5087 21.4832
angles: 90.00 90.00 120.00
Space group R-3m (No. 166, hexagonal axes)
Unique sites:
Li: 0.0000 0.0000 0.0000 [3 per cell]
Ac: 0.0000 0.5000 0.5000 [9 per cell]
Th: 0.0000 0.5000 0.0000 [9 per cell]
Se: 0.0000 0.0000 0.2548 [6 per cell]
Se: 0.0030 0.5015 0.7433 [18 per cell]



Record 10
A plane-wave DFT calculation with GGA-PBE was carried out for an optimized crystal structure of Li2Ac2ThSe6.

Results
Magnetic moment in μB per formula unit: 0.000
ΔE_f (raw) in meV/atom: -1413

abc: 7.7155 7.7155 21.2932
angles: 90.00 90.00 120.00
Space group R-3m (No. 166, hexagonal axes)
Unique sites:
Li: 0.0000 0.0000 0.0704 [6 per cell]
Ac: 0.0000 0.0000 0.3048 [6 per cell]
Th: 0.0000 0.0000 0.5000 [3 per cell]
Se: 0.0194 0.5097 0.2602 [18 per cell]